# Ce5Pu2Pt2 | Alexandria via LeMat-Bulk | GGA-PBE | optimized geometry
# * DOS(E_F): 2.43 states/eV per atom
# * total energy: -73.08 eV/f.u.
# * magnetization: 10.0 μB/f.u.
# * formation enthalpy at 0 K: -0.296 eV per atom
data_Ce5Pu2Pt2
_chemical_formula_sum 'Ce10 Pu4 Pt4'
_cell_length_a 15.9094
_cell_length_b 3.1254
_cell_length_c 9.8892
_cell_angle_alpha 90.00
_cell_angle_beta 124.18
_cell_angle_gamma 90.00
_symmetry_space_group_name_H-M 'C 1 2/m 1'
_symmetry_Int_Tables_number 12
_symmetry_space_group_name_Hall '-C 2y'
loop_
_atom_site_label
_atom_site_fract_x
_atom_site_fract_y
_atom_site_fract_z
Ce1 0.0000 0.0000 0.0000
Ce2 0.1084 0.0000 0.5563
Ce3 0.2251 0.5000 0.1058
Pu1 0.1596 0.0000 0.3242
Pt1 0.0489 0.5000 0.7644

---

# Mo2Os2Ru | Alexandria via LeMat-Bulk | GGA-PBE | optimized geometry
# * DOS(E_F): 0.73 states/eV per atom
# * total energy: -52.63 eV/f.u.
# * magnetization: 0.0 μB/f.u.
# * formation enthalpy at 0 K: 0.153 eV per atom
data_Mo2Os2Ru
_chemical_formula_sum 'Mo4 Os4 Ru2'
_cell_length_a 2.7473
_cell_length_b 6.7244
_cell_length_c 8.7879
_cell_angle_alpha 109.07
_cell_angle_beta 90.01
_cell_angle_gamma 101.76
_symmetry_space_group_name_H-M 'P -1'
_symmetry_Int_Tables_number 2
_symmetry_space_group_name_Hall '-P 1'
loop_
_atom_site_label
_atom_site_fract_x
_atom_site_fract_y
_atom_site_fract_z
Mo1 0.0994 0.2013 0.0462
Mo2 0.1008 0.2012 0.5542
Os1 0.2078 0.4157 0.3551
Os2 0.4961 0.9923 0.7485
Ru1 0.2111 0.4212 0.8540

---

# Na2TlIn2Bi2 | Alexandria via LeMat-Bulk | GGA-PBE | optimized geometry
# * DOS(E_F): 0.40 states/eV per atom
# * total energy: -19.06 eV/f.u.
# * magnetization: 0.0 μB/f.u.
# * formation enthalpy at 0 K: -0.117 eV per atom
data_Na2TlIn2Bi2
_chemical_formula_sum 'Na6 Tl3 In6 Bi6'
_cell_length_a 5.3635
_cell_length_b 5.3635
_cell_length_c 25.1099
_cell_angle_alpha 90.00
_cell_angle_beta 90.00
_cell_angle_gamma 120.00
_symmetry_space_group_name_H-M 'R -3 m'
_symmetry_Int_Tables_number 166
_symmetry_space_group_name_Hall '-R 3 2"'
loop_
_atom_site_label
_atom_site_fract_x
_atom_site_fract_y
_atom_site_fract_z
Na1 0.0000 0.0000 0.1373
Tl1 0.0000 0.0000 0.0000
In1 0.0000 0.0000 0.4366
Bi1 0.0000 0.0000 0.2682

---

# ZrTl2As | Alexandria via LeMat-Bulk | GGA-PBE | optimized geometry
# * DOS(E_F): 0.59 states/eV per atom
# * total energy: -19.06 eV/f.u.
# * magnetization: 0.0 μB/f.u.
# * formation enthalpy at 0 K: -0.282 eV per atom
data_ZrTl2As
_chemical_formula_sum 'Zr1 Tl2 As1'
_cell_length_a 3.6621
_cell_length_b 3.6546
_cell_length_c 7.7017
_cell_angle_alpha 90.00
_cell_angle_beta 94.74
_cell_angle_gamma 90.00
_symmetry_space_group_name_H-M 'P 1 m 1'
_symmetry_Int_Tables_number 6
_symmetry_space_group_name_Hall 'P -2y'
loop_
_atom_site_label
_atom_site_fract_x
_atom_site_fract_y
_atom_site_fract_z
Zr1 0.0000 0.0000 0.0000
Tl1 0.4074 0.5000 0.2932
Tl2 0.8834 0.0000 0.5820
As1 0.4860 0.5000 0.8885